Density functional theory data (PBE) for a geometry-optimized Th2NbSi4Pt3 structure.

a = 4.2812 Å, b = 4.2812 Å, c = 10.1315 Å
α = 90.00°, β = 90.00°, γ = 90.00°
With the nearest neighbours (Å) after each atom.
Atoms (fractional coordinates):
Th: 0.5000 0.0000 0.2429  8 Si 3.25-3.26, 7 Pt 3.29-3.63, 2 Nb 3.37
Th: 0.0000 0.5000 0.7571  8 Si 3.25-3.26, 7 Pt 3.29-3.63, 2 Nb 3.37
Nb: 0.5000 0.5000 0.5000  4 Si 2.58
Si: 0.5000 0.5000 0.0000  4 Pt 2.44
Si: 0.0000 0.0000 0.0000  4 Pt 2.44
Si: 0.5000 0.0000 0.6414  3 Pt 2.46-2.58, 2 Nb 2.58
Si: 0.0000 0.5000 0.3586  3 Pt 2.46-2.58, 2 Nb 2.58
Pt: 0.0000 0.0000 0.5000  4 Si 2.58
Pt: 0.5000 0.0000 0.8845  5 Si 2.44-2.46
Pt: 0.0000 0.5000 0.1155  5 Si 2.44-2.46

## Properties
* M_tot: 0.00 μB per atom
* ΔE_f (raw): -0.986 eV/atom
* DOS(E_F): 0.764 states/eV/atom
* E: -7.459 eV/atom
* calculated volume: 185.69 Å³ per cell